Record 1
Below is crystalline LiTi2Ru at its relaxed geometry, with properties calculated at the PBE level.

Cell lengths 6.8910, 6.8910, 5.5601 Å; angles 51.71, 51.71, 90.00 degrees
Atoms (fractional coordinates):
1 Ru 0.0000 0.0000 0.0000
2 Ru 0.7500 0.2500 0.5000
3 Li 0.5000 0.5000 0.0000
4 Li 0.2500 0.7500 0.5000
5 Ti 0.6419 0.1250 0.2500
6 Ti 0.1081 0.6250 0.2500
7 Ti 0.3750 0.3581 0.7500
8 Ti 0.8750 0.8919 0.7500

Values from the calculation:
- DFT formation energy: 188 meV per atom
- M_tot: 0.0 μB per formula unit
- VASP energy: -26.2 eV per formula unit

Record 2
Below is crystalline Al2Fe2Rh at its relaxed geometry, with properties calculated at the PBE level.

Cell lengths 6.6659, 6.6659, 2.9730 Å; angles 90.00, 90.00, 90.00 degrees
Atoms (fractional coordinates):
1 Rh 0.0000 0.0000 0.0000
2 Rh 0.5000 0.5000 0.0000
3 Fe 0.1580 0.6580 0.5000
4 Fe 0.6580 0.8420 0.5000
5 Fe 0.8420 0.3420 0.5000
6 Fe 0.3420 0.1580 0.5000
7 Al 0.3597 0.8597 0.0000
8 Al 0.8597 0.6403 0.0000
9 Al 0.6403 0.1403 0.0000
10 Al 0.1403 0.3597 0.0000

Values from the calculation:
- DFT formation energy: -204 meV per atom
- M_tot: 4.4 μB per formula unit
- ΔE to the lowest computed polymorph: 0 meV/atom
- VASP energy: -32.8 eV per formula unit

Record 3
Below is crystalline La2Ga2Ir at its relaxed geometry, with properties calculated at the PBE level.

Cell lengths 3.9760, 6.2407, 10.8752 Å; angles 85.35, 79.47, 71.46 degrees
Atoms (fractional coordinates):
1 La 0.2815 0.7970 0.6401
2 La 0.0923 0.6973 0.1174
3 La 0.7184 0.2030 0.3599
4 La 0.9077 0.3027 0.8826
5 Ga 0.9719 0.6453 0.4114
6 Ga 0.3770 0.1331 0.1124
7 Ga 0.0281 0.3547 0.5885
8 Ga 0.6230 0.8669 0.8876
9 Ir 0.4291 0.8399 0.3022
10 Ir 0.5709 0.1601 0.6978

Values from the calculation:
- DFT formation energy: -704 meV per atom
- M_tot: 0.0 μB per formula unit
- ΔE to the lowest computed polymorph: 5 meV/atom
- VASP energy: -28.3 eV per formula unit

Record 4
Below is crystalline Li2Cu5F12 at its relaxed geometry, with properties calculated at the PBE level.

Cell lengths 8.8747, 7.1471, 10.1259 Å; angles 44.66, 90.00, 90.00 degrees
Atoms (fractional coordinates):
1 F 0.3287 0.6816 0.3218
2 F 0.6623 0.6953 0.3128
3 F 0.9930 0.2920 0.6849
4 F 0.1699 0.8241 0.9975
5 F 0.4999 0.8173 0.0022
6 F 0.8288 0.8200 0.9927
7 F 0.8288 0.1800 0.5073
8 F 0.4999 0.1827 0.4978
9 F 0.1699 0.1759 0.5025
10 F 0.9930 0.7080 0.8151
11 F 0.6623 0.3046 0.1872
12 F 0.3287 0.3184 0.1782
13 F 0.3377 0.6954 0.8128
14 F 0.6713 0.6816 0.8218
15 F 0.0070 0.2920 0.1849
16 F 0.8301 0.8241 0.4975
17 F 0.5001 0.8173 0.5022
18 F 0.1712 0.8200 0.4927
19 F 0.1712 0.1800 0.0073
20 F 0.5001 0.1827 0.9978
21 F 0.8301 0.1759 0.0025
22 F 0.0070 0.7080 0.3151
23 F 0.3377 0.3047 0.6872
24 F 0.6713 0.3184 0.6782
25 Cu 0.5000 0.5000 0.5000
26 Cu 0.6686 0.9967 0.0022
27 Cu 0.1677 0.4624 0.5113
28 Cu 0.1677 0.5376 0.9887
29 Cu 0.5000 0.5000 0.0000
30 Cu 0.6686 0.0033 0.4978
31 Cu 0.3314 0.9967 0.5022
32 Cu 0.8323 0.4624 0.0113
33 Cu 0.8323 0.5376 0.4887
34 Cu 0.3314 0.0033 0.9978
35 Li 0.0000 0.0000 0.0000
36 Li 0.8867 0.0000 0.7500
37 Li 0.0000 0.0000 0.5000
38 Li 0.1133 0.0000 0.2500

Values from the calculation:
- E_form (uncorrected): -1795 meV per atom
- M_tot: 5.0 μB per formula unit
- ΔE to the lowest computed polymorph: 0 meV/atom
- VASP energy: -80.9 eV per formula unit

Record 5
Below is crystalline BeInTc2 at its relaxed geometry, with properties calculated at the PBE level.

Cell lengths 3.9251, 2.8374, 5.7041 Å; angles 71.18, 90.00, 90.00 degrees
Atoms (fractional coordinates):
1 Be 0.5000 0.2500 0.2500
2 Tc 0.0000 0.0918 0.0455
3 Tc 0.0000 0.4082 0.4545
4 In 0.5000 0.7500 0.7500

Values from the calculation:
- DFT formation energy: 319 meV per atom
- M_tot: 0.0 μB per formula unit
- ΔE to the lowest computed polymorph: 331 meV/atom
- VASP energy: -25.9 eV per formula unit

Record 6
Below is crystalline SrPa2MnN5 at its relaxed geometry, with properties calculated at the PBE level.

Cell lengths 6.6325, 6.6325, 7.3147 Å; angles 116.96, 116.96, 90.00 degrees
Atoms (fractional coordinates):
1 Sr 0.2500 0.2500 0.5000
2 Sr 0.7500 0.7500 0.5000
3 Pa 0.1800 0.3200 0.0000
4 Pa 0.6800 0.1800 0.0000
5 Pa 0.3200 0.8200 0.0000
6 Pa 0.8200 0.6800 0.0000
7 Mn 0.2500 0.7500 0.5000
8 Mn 0.7500 0.2500 0.5000
9 N 0.9939 0.4939 0.2658
10 N 0.7281 0.2281 0.7342
11 N 0.0061 0.5061 0.7342
12 N 0.2281 0.0061 0.7342
13 N 0.5061 0.7281 0.7342
14 N 0.7719 0.9939 0.2658
15 N 0.4939 0.2719 0.2658
16 N 0.2719 0.7719 0.2658
17 N 0.5000 0.5000 0.0000
18 N 0.0000 0.0000 0.0000

Values from the calculation:
- E_form (uncorrected): -1215 meV per atom
- M_tot: 2.7 μB per formula unit
- VASP energy: -82.4 eV per formula unit

Record 7
Below is crystalline SrMgZn2Ag at its relaxed geometry, with properties calculated at the PBE level.

Cell lengths 4.3187, 4.4052, 6.8013 Å; angles 108.90, 108.51, 90.00 degrees
Atoms (fractional coordinates):
1 Sr 0.4440 0.4440 0.8879
2 Mg 0.1913 0.6913 0.3827
3 Zn 0.6888 0.1888 0.3777
4 Zn 0.0548 0.0548 0.1096
5 Ag 0.8332 0.8332 0.6664

Values from the calculation:
- DFT formation energy: -213 meV per atom
- M_tot: 0.0 μB per formula unit
- VASP energy: -9.7 eV per formula unit

Record 8
Below is crystalline Mg2ZnInCu at its relaxed geometry, with properties calculated at the PBE level.

Cell lengths 5.3821, 4.9136, 5.3821 Å; angles 90.00, 90.00, 90.00 degrees
Atoms (fractional coordinates):
1 Zn 0.5000 0.5000 0.5000
2 Mg 0.0000 0.0000 0.5000
3 Mg 0.5000 0.0000 0.0000
4 Cu 0.0000 0.5000 0.0000
5 In 0.0000 0.0000 0.0000

Values from the calculation:
- DFT formation energy: 516 meV per atom
- M_tot: 0.0 μB per formula unit
- VASP energy: -8.7 eV per formula unit

Record 9
Below is crystalline Tm4MgGa2Ru at its relaxed geometry, with properties calculated at the PBE level.

Cell lengths 4.9914, 4.9914, 8.6438 Å; angles 73.22, 73.22, 60.00 degrees
Atoms (fractional coordinates):
1 Tm 0.3856 0.3856 0.8432
2 Tm 0.8675 0.8675 0.3974
3 Tm 0.1325 0.1325 0.6026
4 Tm 0.6144 0.6144 0.1568
5 Mg 0.0000 0.0000 0.0000
6 Ga 0.7407 0.7407 0.7780
7 Ga 0.2593 0.2593 0.2220
8 Ru 0.5000 0.5000 0.5000

Values from the calculation:
- DFT formation energy: -454 meV per atom
- M_tot: 0.0 μB per formula unit
- VASP energy: -38.4 eV per formula unit

Record 10
Below is crystalline Mg at its relaxed geometry, with properties calculated at the PBE level.

Cell lengths 5.8479, 5.8479, 9.6320 Å; angles 90.00, 90.00, 120.00 degrees
Atoms (fractional coordinates):
1 Mg 0.6667 0.3333 0.9385
2 Mg 0.3333 0.6667 0.4385
3 Mg 0.3333 0.6667 0.0615
4 Mg 0.6667 0.3333 0.5615
5 Mg 0.0000 0.0000 0.0000
6 Mg 0.0000 0.0000 0.5000
7 Mg 0.8302 0.1698 0.2500
8 Mg 0.1698 0.3395 0.7500
9 Mg 0.6605 0.8302 0.7500
10 Mg 0.3395 0.1698 0.2500
11 Mg 0.8302 0.6605 0.2500
12 Mg 0.1698 0.8302 0.7500

Values from the calculation:
- DFT formation energy: 81 meV per atom
- M_tot: 0.0 μB per formula unit
- ΔE to the lowest computed polymorph: 81 meV/atom
- VASP energy: -1.5 eV per formula unit

Record 11
Below is crystalline Pm7Sn2Pb2 at its relaxed geometry, with properties calculated at the PBE level.

Cell lengths 7.3065, 7.3363, 7.3065 Å; angles 90.00, 104.74, 90.00 degrees
Atoms (fractional coordinates):
1 Pm 0.9998 0.2841 0.5003
2 Pm 0.5003 0.7159 0.9998
3 Pm 0.0002 0.7159 0.4997
4 Pm 0.4997 0.2841 0.0002
5 Pm 0.0000 0.0000 0.0000
6 Pm 0.5002 0.7423 0.4998
7 Pm 0.4998 0.2577 0.5002
8 Sn 0.7236 0.0000 0.2764
9 Sn 0.2764 0.0000 0.7236
10 Pb 0.8194 0.5000 0.8194
11 Pb 0.1806 0.5000 0.1806

Values from the calculation:
- DFT formation energy: -263 meV per atom
- M_tot: 0.0 μB per formula unit
- VASP energy: -51.6 eV per formula unit

Record 12
Below is crystalline Na2Hg2F at its relaxed geometry, with properties calculated at the PBE level.

Cell lengths 6.3740, 6.3740, 6.1266 Å; angles 90.00, 90.00, 90.00 degrees
Atoms (fractional coordinates):
1 Na 0.2910 0.7910 0.0000
2 Na 0.7910 0.7090 0.0000
3 Na 0.7090 0.2090 0.0000
4 Na 0.2090 0.2910 0.0000
5 Hg 0.1699 0.6699 0.5000
6 Hg 0.6699 0.8301 0.5000
7 Hg 0.8301 0.3301 0.5000
8 Hg 0.3301 0.1699 0.5000
9 F 0.0000 0.0000 0.0000
10 F 0.5000 0.5000 0.0000

Values from the calculation:
- E_form (uncorrected): -1013 meV per atom
- M_tot: 0.0 μB per formula unit
- ΔE to the lowest computed polymorph: 0 meV/atom
- VASP energy: -10.2 eV per formula unit